DFT (PBE-GGA) results for Pm2YNi2 after structural relaxation.

## Properties
Its formation energy is -1.25 eV per formula unit. As for the calculated density: 6.69 g/cm³. As for the distance to the lowest polymorph of the same formula: 0.020 eV/atom. As for the total moment: 0.000 μB/atom.

a = 5.425 Å, b = 4.395 Å, c = 10.382 Å
α = 90.00°, β = 95.11°, γ = 90.00°
Atoms (fractional coordinates):
Pm (0.112, 0.250, 0.380)
Pm (0.246, 0.250, 0.038)
Pm (0.754, 0.750, 0.962)
Pm (0.888, 0.750, 0.620)
Y (0.394, 0.250, 0.708)
Y (0.606, 0.750, 0.292)
Ni (0.250, 0.750, 0.860)
Ni (0.369, 0.750, 0.524)
Ni (0.631, 0.250, 0.476)
Ni (0.750, 0.250, 0.140)